[1]
The following is a DFT calculation (PBE-GGA) of an optimized crystal structure of Pr2AgTe3.

Total magnetic moment, μB per formula unit: 0.7
Relative energy among the computed polymorphs, eV per atom: 0.046

a b c (Å): 9.364 4.379 17.779
angles (deg): 90.00 90.00 90.00
Each line ends with the local moment (μB).
Fractional coordinates of all 24 atoms:
1 Ag 0.365 0.250 0.363  0.01
2 Pr 0.750 0.750 0.972  0.18
3 Te 0.222 0.750 0.713  0.00
4 Te 0.912 0.750 0.578  0.00
5 Ag 0.865 0.250 0.137  0.01
6 Te 0.976 0.250 0.905  0.00
7 Pr 0.542 0.750 0.215  0.09
8 Te 0.088 0.250 0.422  0.00
9 Te 0.524 0.750 0.405  0.00
10 Pr 0.958 0.250 0.715  0.09
11 Te 0.778 0.250 0.287  0.00
12 Te 0.588 0.250 0.078  0.00
13 Te 0.476 0.250 0.595  0.00
14 Pr 0.250 0.250 0.028  0.18
15 Te 0.024 0.750 0.095  0.00
16 Ag 0.135 0.750 0.863  0.01
17 Te 0.412 0.750 0.922  0.00
18 Te 0.278 0.250 0.213  0.00
19 Pr 0.458 0.250 0.785  0.09
20 Ag 0.635 0.750 0.637  0.01
21 Pr 0.750 0.250 0.472  0.17
22 Pr 0.042 0.750 0.285  0.09
23 Te 0.722 0.750 0.787  0.00
24 Pr 0.250 0.750 0.528  0.17

[2]
The following is a DFT calculation (PBE-GGA) of an optimized crystal structure of PrTlAgTe3.

E, eV/atom: -3.917
Total magnetic moment, μB per formula unit: 0.0

a b c (Å): 8.047 8.047 11.741
angles (deg): 90.00 90.00 148.74
Fractional coordinates of all 12 atoms:
1 Te 0.644 0.356 0.059
2 Te 0.084 0.916 0.750
3 Te 0.916 0.084 0.250
4 Tl 0.760 0.240 0.750
5 Pr 0.000 0.000 0.500
6 Tl 0.240 0.760 0.250
7 Te 0.644 0.356 0.441
8 Pr 0.000 0.000 0.000
9 Ag 0.534 0.466 0.250
10 Te 0.356 0.644 0.941
11 Ag 0.466 0.534 0.750
12 Te 0.356 0.644 0.559

[3]
The following is a DFT calculation (PBE-GGA) of an optimized crystal structure of PrTl2Ag2.

E, eV/atom: -3.120
Total magnetic moment, μB per formula unit: 0.0

a b c (Å): 6.966 6.966 6.966
angles (deg): 142.07 142.07 54.72
Fractional coordinates of all 5 atoms:
1 Tl 0.750 0.250 0.500
2 Pr 0.000 0.000 0.000
3 Ag 0.605 0.605 0.000
4 Tl 0.250 0.750 0.500
5 Ag 0.395 0.395 0.000

Q: Look up the total magnetic moment of the first one.
A: 0.7 μB per formula unit

Repeat the third record exactly.
The following is a DFT calculation (PBE-GGA) of an optimized crystal structure of PrTl2Ag2.

E, eV/atom: -3.120
Total magnetic moment, μB per formula unit: 0.0

a b c (Å): 6.966 6.966 6.966
angles (deg): 142.07 142.07 54.72
Fractional coordinates of all 5 atoms:
1 Tl 0.750 0.250 0.500
2 Pr 0.000 0.000 0.000
3 Ag 0.605 0.605 0.000
4 Tl 0.250 0.750 0.500
5 Ag 0.395 0.395 0.000

Q: Among the records above, which one has the highest total magnetic moment?
A: Pr2AgTe3